The following is a DFT calculation (GGA-PBE) of a relaxed structure of ErNb2Pt9.

Formation enthalpy at 0 K in meV/atom: -753
V in Å³/cell: 197.42

abc: 4.0295 4.0295 12.1591
angles: 90.00 90.00 90.00
Atoms (fractional coordinates):
Er 0.0000 0.0000 0.0000
Nb 0.0000 0.0000 0.3324
Nb 0.0000 0.0000 0.6676
Pt 0.0000 0.5000 0.1765
Pt 0.0000 0.5000 0.5000
Pt 0.0000 0.5000 0.8235
Pt 0.5000 0.0000 0.1765
Pt 0.5000 0.0000 0.5000
Pt 0.5000 0.0000 0.8235
Pt 0.5000 0.5000 0.0000
Pt 0.5000 0.5000 0.3385
Pt 0.5000 0.5000 0.6615



The following is a DFT calculation (GGA-PBE) of a relaxed structure of LaNpOs.

Formation enthalpy at 0 K in meV/atom: 168
V in Å³/cell: 383.39

abc: 13.9017 13.9017 13.9017
angles: 23.77 23.77 23.77
Atoms (fractional coordinates):
La 0.0368 0.0368 0.0368
La 0.1830 0.1830 0.1830
La 0.2714 0.2714 0.2714
La 0.7286 0.7286 0.7286
La 0.8170 0.8170 0.8170
La 0.9632 0.9632 0.9632
Np 0.1773 0.7464 0.7464
Np 0.2536 0.2536 0.8227
Np 0.2536 0.8227 0.2536
Np 0.7464 0.1773 0.7464
Np 0.7464 0.7464 0.1773
Np 0.8227 0.2536 0.2536
Os 0.0000 0.5000 0.5000
Os 0.3903 0.3903 0.3903
Os 0.5000 0.0000 0.5000
Os 0.5000 0.5000 0.0000
Os 0.5000 0.5000 0.5000
Os 0.6097 0.6097 0.6097



The following is a DFT calculation (GGA-PBE) of a relaxed structure of PmNp2In3Te6.

Uncorrected formation energy in eV/f.u.: -7.72
V in Å³/cell: 420.40

abc: 7.7176 7.7176 8.5463
angles: 98.67 98.67 119.98
Atoms (fractional coordinates):
Pm 0.0000 0.0000 0.0000
Np 0.3330 0.6670 0.0000
Np 0.6670 0.3330 0.0000
In 0.1648 0.8352 0.5000
In 0.5000 0.5000 0.5000
In 0.8352 0.1648 0.5000
Te 0.0743 0.4119 0.2225
Te 0.2643 0.2643 0.7793
Te 0.4119 0.0743 0.2225
Te 0.5881 0.9257 0.7775
Te 0.7357 0.7357 0.2207
Te 0.9257 0.5881 0.7775



The following is a DFT calculation (GGA-PBE) of a relaxed structure of Be2ReMo.

Formation enthalpy at 0 K in meV/atom: 127
V in Å³/cell: 98.26

abc: 3.2447 4.1058 7.3758
angles: 90.00 90.00 90.00
Atoms (fractional coordinates):
Be 0.0000 0.0000 0.2450
Be 0.0000 0.0000 0.7550
Be 0.5000 0.5000 0.2450
Be 0.5000 0.5000 0.7550
Re 0.0000 0.5000 0.0000
Re 0.5000 0.0000 0.0000
Mo 0.0000 0.5000 0.5000
Mo 0.5000 0.0000 0.5000



The following is a DFT calculation (GGA-PBE) of a relaxed structure of ThZn12Pt4.

Formation enthalpy at 0 K in meV/atom: -88
V in Å³/cell: 330.81

abc: 7.5463 7.5463 7.5463
angles: 109.47 109.47 109.47
Atoms (fractional coordinates):
Th 0.0000 0.0000 0.0000
Zn 0.1511 0.3517 0.5028
Zn 0.1511 0.6483 0.7994
Zn 0.2006 0.8489 0.3517
Zn 0.3517 0.2006 0.8489
Zn 0.3517 0.5028 0.1511
Zn 0.4972 0.8489 0.6483
Zn 0.5028 0.1511 0.3517
Zn 0.6483 0.4972 0.8489
Zn 0.6483 0.7994 0.1511
Zn 0.7994 0.1511 0.6483
Zn 0.8489 0.3517 0.2006
Zn 0.8489 0.6483 0.4972
Pt 0.0000 0.0000 0.5000
Pt 0.0000 0.5000 0.0000
Pt 0.5000 0.0000 0.0000
Pt 0.5000 0.5000 0.5000



The following is a DFT calculation (GGA-PBE) of a relaxed structure of Hg2PtI2.

Uncorrected formation energy in eV/f.u.: 0.61
V in Å³/cell: 391.68

abc: 7.1930 7.1930 7.5703
angles: 90.00 90.00 90.00
Atoms (fractional coordinates):
Hg 0.1620 0.3380 0.0000
Hg 0.3380 0.8380 0.0000
Hg 0.6620 0.1620 0.0000
Hg 0.8380 0.6620 0.0000
Pt 0.0000 0.0000 0.5000
Pt 0.5000 0.5000 0.5000
I 0.1736 0.3264 0.5000
I 0.3264 0.8264 0.5000
I 0.6736 0.1736 0.5000
I 0.8264 0.6736 0.5000



The following is a DFT calculation (GGA-PBE) of a relaxed structure of CaTc2PN.

Uncorrected formation energy in eV/f.u.: -3.42
V in Å³/cell: 148.49

abc: 5.9350 5.9350 7.3145
angles: 90.00 90.00 144.81
Atoms (fractional coordinates):
Ca 0.0408 0.9592 0.7500
Ca 0.9592 0.0408 0.2500
Tc 0.3349 0.6651 0.5546
Tc 0.3349 0.6651 0.9454
Tc 0.6651 0.3349 0.0546
Tc 0.6651 0.3349 0.4454
P 0.2362 0.7638 0.2500
P 0.7638 0.2362 0.7500
N 0.5000 0.5000 0.0000
N 0.5000 0.5000 0.5000



The following is a DFT calculation (GGA-PBE) of a relaxed structure of NaPmSi2O6.

Uncorrected formation energy in eV/f.u.: -28.54
V in Å³/cell: 273.20

abc: 7.2497 7.2497 5.3853
angles: 100.73 100.73 88.71
Atoms (fractional coordinates):
Na 0.1615 0.8385 0.7500
Na 0.8385 0.1615 0.2500
Pm 0.3787 0.6213 0.2500
Pm 0.6213 0.3787 0.7500
Si 0.1288 0.2904 0.7451
Si 0.2904 0.1288 0.2451
Si 0.7096 0.8712 0.7549
Si 0.8712 0.7096 0.2549
O 0.0835 0.6397 0.3293
O 0.1380 0.1690 0.9846
O 0.1690 0.1380 0.4846
O 0.2970 0.4481 0.8331
O 0.3603 0.9165 0.1707
O 0.4481 0.2970 0.3331
O 0.5519 0.7030 0.6669
O 0.6397 0.0835 0.8293
O 0.7030 0.5519 0.1669
O 0.8310 0.8620 0.5154
O 0.8620 0.8310 0.0154
O 0.9165 0.3603 0.6707



The following is a DFT calculation (GGA-PBE) of a relaxed structure of Pr2Dy8Sc.

Formation enthalpy at 0 K in meV/atom: 33
V in Å³/cell: 347.91

abc: 9.3934 9.3934 7.9460
angles: 104.78 104.78 30.97
Atoms (fractional coordinates):
Pr 0.2260 0.2260 0.1376
Pr 0.7740 0.7740 0.8624
Dy 0.0439 0.0439 0.2298
Dy 0.1329 0.1329 0.6742
Dy 0.3205 0.3205 0.5914
Dy 0.4114 0.4114 0.0520
Dy 0.5886 0.5886 0.9480
Dy 0.6795 0.6795 0.4086
Dy 0.8671 0.8671 0.3258
Dy 0.9561 0.9561 0.7702
Sc 0.5000 0.5000 0.5000



The following is a DFT calculation (GGA-PBE) of a relaxed structure of La3SiTe2.

Uncorrected formation energy in eV/f.u.: -8.18
V in Å³/cell: 790.67

abc: 14.9865 14.2884 7.8645
angles: 79.38 69.57 31.05
Atoms (fractional coordinates):
La 0.0375 0.5374 0.1909
La 0.1020 0.6480 0.6480
La 0.1909 0.7343 0.0375
La 0.2657 0.8091 0.4626
La 0.3520 0.8980 0.8980
La 0.4626 0.9625 0.2657
La 0.5374 0.0375 0.7343
La 0.6480 0.1020 0.1020
La 0.7343 0.1909 0.5374
La 0.8091 0.2657 0.9625
La 0.8980 0.3520 0.3520
La 0.9625 0.4626 0.8091
Si 0.0414 0.0414 0.2086
Si 0.2086 0.2086 0.0414
Si 0.7914 0.7914 0.9586
Si 0.9586 0.9586 0.7914
Te 0.1276 0.1276 0.6224
Te 0.2943 0.2943 0.4557
Te 0.3776 0.3776 0.8724
Te 0.4557 0.4557 0.2943
Te 0.5443 0.5443 0.7057
Te 0.6224 0.6224 0.1276
Te 0.7057 0.7057 0.5443
Te 0.8724 0.8724 0.3776



The following is a DFT calculation (GGA-PBE) of a relaxed structure of Sm2HfUP4.

Formation enthalpy at 0 K in meV/atom: -1342
V in Å³/cell: 174.17

abc: 6.8043 3.9352 6.8820
angles: 90.00 109.06 90.00
Atoms (fractional coordinates):
Sm 0.0000 0.0000 0.0000
Sm 0.5000 0.5000 0.0000
Hf 0.0000 0.5000 0.5000
U 0.5000 0.0000 0.5000
P 0.2371 0.0000 0.7267
P 0.2493 0.5000 0.2686
P 0.7507 0.5000 0.7314
P 0.7629 0.0000 0.2733



The following is a DFT calculation (GGA-PBE) of a relaxed structure of Ac2LaGe4Ir3.

Formation enthalpy at 0 K in meV/atom: -668
V in Å³/cell: 225.39

abc: 4.4419 4.4419 11.4232
angles: 90.00 90.00 90.00
Atoms (fractional coordinates):
Ac 0.0000 0.5000 0.2249
Ac 0.5000 0.0000 0.7751
La 0.0000 0.0000 0.5000
Ge 0.0000 0.0000 0.0000
Ge 0.0000 0.5000 0.6767
Ge 0.5000 0.0000 0.3233
Ge 0.5000 0.5000 0.0000
Ir 0.0000 0.5000 0.8928
Ir 0.5000 0.0000 0.1072
Ir 0.5000 0.5000 0.5000



The following is a DFT calculation (GGA-PBE) of a relaxed structure of InCuAs2.

Formation enthalpy at 0 K in meV/atom: 72
V in Å³/cell: 160.67

abc: 6.6567 3.8382 6.6651
angles: 90.00 109.35 90.00
Atoms (fractional coordinates):
In 0.0000 0.0000 0.0000
In 0.5000 0.5000 0.0000
Cu 0.0000 0.5000 0.5000
Cu 0.5000 0.0000 0.5000
As 0.2299 0.0000 0.6897
As 0.2701 0.5000 0.3103
As 0.7299 0.5000 0.6897
As 0.7701 0.0000 0.3103



The following is a DFT calculation (GGA-PBE) of a relaxed structure of La2TbC2Br2.

Uncorrected formation energy in eV/f.u.: -5.17
V in Å³/cell: 335.91

abc: 4.6111 4.6111 15.7984
angles: 90.00 90.00 90.00
Atoms (fractional coordinates):
La 0.0000 0.0000 0.1000
La 0.0000 0.0000 0.9000
La 0.5000 0.5000 0.4000
La 0.5000 0.5000 0.6000
Tb 0.0000 0.0000 0.5000
Tb 0.5000 0.5000 0.0000
C 0.0000 0.5000 0.0000
C 0.0000 0.5000 0.5000
C 0.5000 0.0000 0.0000
C 0.5000 0.0000 0.5000
Br 0.0000 0.0000 0.3110
Br 0.0000 0.0000 0.6890
Br 0.5000 0.5000 0.1890
Br 0.5000 0.5000 0.8110



The following is a DFT calculation (GGA-PBE) of a relaxed structure of YHo3Al8.

Formation enthalpy at 0 K in meV/atom: -519
V in Å³/cell: 241.91

abc: 9.6406 9.6406 9.6406
angles: 33.41 33.41 33.41
Atoms (fractional coordinates):
Y 0.0000 0.0000 0.0000
Ho 0.3756 0.3756 0.3756
Ho 0.4999 0.4999 0.4999
Ho 0.8752 0.8752 0.8752
Al 0.1877 0.1877 0.1877
Al 0.4375 0.4375 0.9375
Al 0.4375 0.9375 0.4375
Al 0.4381 0.9377 0.9377
Al 0.6877 0.6877 0.6877
Al 0.9375 0.4375 0.4375
Al 0.9377 0.4381 0.9377
Al 0.9377 0.9377 0.4381



The following is a DFT calculation (GGA-PBE) of a relaxed structure of PuTi2Tc.

Formation enthalpy at 0 K in meV/atom: 32
V in Å³/cell: 273.70

abc: 6.4927 6.4927 6.4927
angles: 90.00 90.00 90.00
Atoms (fractional coordinates):
Pu 0.0000 0.0000 0.0000
Pu 0.0000 0.5000 0.5000
Pu 0.5000 0.0000 0.5000
Pu 0.5000 0.5000 0.0000
Ti 0.2500 0.2500 0.2500
Ti 0.2500 0.2500 0.7500
Ti 0.2500 0.7500 0.2500
Ti 0.2500 0.7500 0.7500
Ti 0.7500 0.2500 0.2500
Ti 0.7500 0.2500 0.7500
Ti 0.7500 0.7500 0.2500
Ti 0.7500 0.7500 0.7500
Tc 0.0000 0.0000 0.5000
Tc 0.0000 0.5000 0.0000
Tc 0.5000 0.0000 0.0000
Tc 0.5000 0.5000 0.5000



The following is a DFT calculation (GGA-PBE) of a relaxed structure of TeRh2Pb.

Uncorrected formation energy in eV/f.u.: 0.08
V in Å³/cell: 251.49

abc: 3.8616 3.8616 19.4733
angles: 90.00 90.00 120.00
Atoms (fractional coordinates):
Te 0.0000 0.0000 0.0000
Te 0.3333 0.6667 0.6667
Te 0.6667 0.3333 0.3333
Rh 0.0000 0.0000 0.4108
Rh 0.0000 0.0000 0.5829
Rh 0.3333 0.6667 0.0775
Rh 0.3333 0.6667 0.2496
Rh 0.6667 0.3333 0.7442
Rh 0.6667 0.3333 0.9163
Pb 0.0000 0.0000 0.8290
Pb 0.3333 0.6667 0.4957
Pb 0.6667 0.3333 0.1623



The following is a DFT calculation (GGA-PBE) of a relaxed structure of Ca2SmPbN.

Uncorrected formation energy in eV/f.u.: -4.58
V in Å³/cell: 119.82

abc: 4.9013 4.9013 4.9877
angles: 90.00 90.00 90.00
Atoms (fractional coordinates):
Ca 0.0000 0.5000 0.0000
Ca 0.5000 0.0000 0.0000
Sm 0.0000 0.0000 0.5000
Pb 0.5000 0.5000 0.5000
N 0.0000 0.0000 0.0000



The following is a DFT calculation (GGA-PBE) of a relaxed structure of KCr2Te.

Uncorrected formation energy in eV/f.u.: 0.82
V in Å³/cell: 225.53

abc: 7.8242 4.5196 6.8969
angles: 90.00 112.37 90.00
Atoms (fractional coordinates):
K 0.0000 0.0000 0.0000
K 0.5000 0.5000 0.0000
Cr 0.2991 0.5000 0.3997
Cr 0.4846 0.0000 0.4560
Cr 0.7991 0.0000 0.3997
Cr 0.9846 0.5000 0.4560
Te 0.1940 0.0000 0.5831
Te 0.6940 0.5000 0.5831



The following is a DFT calculation (GGA-PBE) of a relaxed structure of CaInNi2.

Formation enthalpy at 0 K in meV/atom: -152
V in Å³/cell: 148.44

abc: 3.9131 3.8982 9.7310
angles: 90.00 90.00 90.00
Atoms (fractional coordinates):
Ca 0.0000 0.0000 0.0000
Ca 0.0000 0.5000 0.5000
In 0.5000 0.0000 0.7049
In 0.5000 0.5000 0.2049
Ni 0.0000 0.0000 0.2816
Ni 0.0000 0.5000 0.7816
Ni 0.5000 0.0000 0.4142
Ni 0.5000 0.5000 0.9142



The following is a DFT calculation (GGA-PBE) of a relaxed structure of Tb2ZnPt9.

Formation enthalpy at 0 K in meV/atom: -778
V in Å³/cell: 201.89

abc: 4.0902 4.0902 12.0681
angles: 90.00 90.00 90.00
Atoms (fractional coordinates):
Tb 0.0000 0.0000 0.1730
Tb 0.0000 0.0000 0.8270
Zn 0.0000 0.0000 0.5000
Pt 0.0000 0.5000 0.0000
Pt 0.0000 0.5000 0.3470
Pt 0.0000 0.5000 0.6530
Pt 0.5000 0.0000 0.0000
Pt 0.5000 0.0000 0.3470
Pt 0.5000 0.0000 0.6530
Pt 0.5000 0.5000 0.1732
Pt 0.5000 0.5000 0.5000
Pt 0.5000 0.5000 0.8268



The following is a DFT calculation (GGA-PBE) of a relaxed structure of Pu2HgO6.

Uncorrected formation energy in eV/f.u.: -19.47
V in Å³/cell: 152.47

abc: 5.1097 5.7312 6.0504
angles: 61.85 84.34 77.42
Atoms (fractional coordinates):
Pu 0.9999 0.1676 0.1655
Pu 0.0001 0.8324 0.8345
Hg 0.5000 0.5000 0.5000
O 0.2091 0.0724 0.8777
O 0.2089 0.4496 0.1247
O 0.2230 0.8185 0.5004
O 0.7770 0.1815 0.4996
O 0.7911 0.5504 0.8753
O 0.7909 0.9276 0.1223